A plane-wave DFT calculation with PBE was carried out for a relaxed TaMnNi2H crystal.

Properties
relative energy among the computed polymorphs = 0 meV per atom
magnetic moment = 0.9 μB/f.u.
VASP energy = -7.342 eV per atom
space group = No. 123

Unit cell a=3.6390 b=3.6390 c=3.9118 alpha=90.00 beta=90.00 gamma=90.00
Site moments in Bohr magnetons follow the coordinates.
Element x y z (fractional)
1 Ni 0.0000 0.5000 0.0000  0.02
2 Ni 0.5000 0.0000 0.0000  0.02
3 Mn 0.0000 0.0000 0.5000  1.19
4 H 0.0000 0.0000 0.0000  -0.01
5 Ta 0.5000 0.5000 0.5000  -0.27